No. 1
Computed, not measured: an optimized crystal structure of Nd7SBr12 at the PBE level of DFT.

a = 9.3525 Å, b = 9.3525 Å, c = 9.3525 Å
α = 107.85°, β = 107.85°, γ = 107.85°
Fractional coordinates of all 20 atoms:
Nd 0.9631 0.6819 0.8889
Nd 0.3181 0.1111 0.0369
Nd 0.1111 0.0369 0.3181
Nd 0.5000 0.5000 0.5000
Nd 0.8889 0.9631 0.6819
Nd 0.6819 0.8889 0.9631
Nd 0.0369 0.3181 0.1111
S 0.0000 0.0000 0.0000
Br 0.9234 0.3129 0.7750
Br 0.6871 0.2250 0.0766
Br 0.4750 0.1557 0.3909
Br 0.8443 0.6091 0.5250
Br 0.2250 0.0766 0.6871
Br 0.6091 0.5250 0.8443
Br 0.3909 0.4750 0.1557
Br 0.7750 0.9234 0.3129
Br 0.1557 0.3909 0.4750
Br 0.5250 0.8443 0.6091
Br 0.3129 0.7750 0.9234
Br 0.0766 0.6871 0.2250

Mass density (g/cm3): 4.997
Raw formation energy (eV per atom): -1.764
Symmetry: R-3, No. 148

***

No. 2
Computed, not measured: an optimized crystal structure of Nd3S3Br at the PBE level of DFT.

a = 8.6660 Å, b = 8.6660 Å, c = 7.5936 Å
α = 55.21°, β = 55.21°, γ = 60.00°
Fractional coordinates of all 14 atoms:
Nd 0.2725 0.5666 0.2437
Nd 0.9172 0.2725 0.2437
Nd 0.5666 0.9172 0.2437
Nd 0.4334 0.0828 0.7563
Nd 0.0828 0.7275 0.7563
Nd 0.7275 0.4334 0.7563
S 0.3879 0.7843 0.7381
S 0.7843 0.0898 0.7381
S 0.0898 0.3879 0.7381
S 0.9102 0.6121 0.2619
S 0.2157 0.9102 0.2619
S 0.6121 0.2157 0.2619
Br 0.3298 0.3298 0.0107
Br 0.6702 0.6702 0.9893

Mass density (g/cm3): 5.442
Raw formation energy (eV per atom): -1.880
Symmetry: R-3, No. 148

***

No. 3
Computed, not measured: an optimized crystal structure of Nd2SBr3 at the PBE level of DFT.

a = 4.6262 Å, b = 8.5167 Å, c = 10.9330 Å
α = 73.47°, β = 77.79°, γ = 74.24°
Fractional coordinates of all 12 atoms:
Nd 0.8614 0.4680 0.8091
Nd 0.1386 0.5320 0.1909
Nd 0.5969 0.2480 0.5582
Nd 0.4031 0.7520 0.4418
S 0.4030 0.5173 0.6767
S 0.5970 0.4827 0.3233
Br 0.0561 0.1323 0.7554
Br 0.9439 0.8677 0.2446
Br 0.6583 0.6962 0.9872
Br 0.3417 0.3038 0.0128
Br 0.7711 0.8506 0.6072
Br 0.2289 0.1494 0.3928

Mass density (g/cm3): 4.732
Raw formation energy (eV per atom): -1.822
Symmetry: C2/m, No. 12

***

No. 4
Computed, not measured: an optimized crystal structure of Nd2SBr4 at the PBE level of DFT.

a = 3.8478 Å, b = 12.6854 Å, c = 12.6854 Å
α = 90.00°, β = 90.00°, γ = 90.00°
Fractional coordinates of all 14 atoms:
Nd 0.0000 0.1176 0.8824
Nd 0.0000 0.8824 0.1176
Nd 0.5000 0.6176 0.6176
Nd 0.5000 0.3824 0.3824
S 0.5000 0.0000 0.0000
S 0.0000 0.5000 0.5000
Br 0.0000 0.2152 0.4257
Br 0.0000 0.7848 0.5743
Br 0.5000 0.0743 0.7152
Br 0.5000 0.9257 0.2848
Br 0.5000 0.2848 0.9257
Br 0.5000 0.7152 0.0743
Br 0.0000 0.4257 0.2152
Br 0.0000 0.5743 0.7848

Mass density (g/cm3): 3.434
Raw formation energy (eV per atom): -1.856
Symmetry: P4_2/mnm, No. 136

***

No. 5
Computed, not measured: an optimized crystal structure of Nd3S2Br5 at the PBE level of DFT.

a = 6.9242 Å, b = 7.2607 Å, c = 22.7744 Å
α = 90.00°, β = 90.00°, γ = 90.00°
Fractional coordinates of all 40 atoms:
Nd 0.0553 0.3796 0.3962
Nd 0.5553 0.1204 0.6038
Nd 0.4447 0.8796 0.1038
Nd 0.9447 0.6204 0.8962
Nd 0.9447 0.6204 0.6038
Nd 0.4447 0.8796 0.3962
Nd 0.5553 0.1204 0.8962
Nd 0.0553 0.3796 0.1038
Nd 0.9433 0.0485 0.7500
Nd 0.4433 0.4515 0.2500
Nd 0.5567 0.5485 0.7500
Nd 0.0567 0.9515 0.2500
S 0.6982 0.8349 0.8254
S 0.1982 0.6651 0.3254
S 0.6982 0.8349 0.6746
S 0.3018 0.1651 0.1746
S 0.8018 0.3349 0.8254
S 0.8018 0.3349 0.6746
S 0.3018 0.1651 0.3254
S 0.1982 0.6651 0.1746
Br 0.6354 0.8285 0.2500
Br 0.1354 0.6715 0.7500
Br 0.8646 0.3285 0.2500
Br 0.3646 0.1715 0.7500
Br 0.3483 0.4791 0.6198
Br 0.3483 0.4791 0.8802
Br 0.8483 0.0209 0.3802
Br 0.1517 0.9791 0.8802
Br 0.6517 0.5209 0.1198
Br 0.6517 0.5209 0.3802
Br 0.1517 0.9791 0.6198
Br 0.8483 0.0209 0.1198
Br 0.1693 0.6762 0.0209
Br 0.6693 0.8238 0.9791
Br 0.3307 0.1762 0.4791
Br 0.8307 0.3238 0.5209
Br 0.8307 0.3238 0.9791
Br 0.3307 0.1762 0.0209
Br 0.6693 0.8238 0.5209
Br 0.1693 0.6762 0.4791

Mass density (g/cm3): 5.200
Raw formation energy (eV per atom): -1.934
Symmetry: Pnma, No. 62

***

No. 6
Computed, not measured: an optimized crystal structure of Nd4S5Br at the PBE level of DFT.

a = 6.9266 Å, b = 8.7587 Å, c = 9.9481 Å
α = 90.00°, β = 90.00°, γ = 90.00°
Each line ends with the local moment (μB).
Fractional coordinates of all 20 atoms:
Nd 0.9876 0.0000 0.7255  0.05
Nd 0.5143 0.7274 0.0000  0.14
Nd 0.5143 0.2726 0.0000  0.14
Nd 0.9876 0.0000 0.2745  0.05
Nd 0.0124 0.5000 0.2255  0.05
Nd 0.4857 0.7726 0.5000  0.14
Nd 0.4857 0.2274 0.5000  0.14
Nd 0.0124 0.5000 0.7745  0.05
S 0.2518 0.7608 0.7971  0.00
S 0.2518 0.2392 0.7971  0.00
S 0.7877 0.5000 0.0000  0.00
S 0.2518 0.7608 0.2029  0.00
S 0.2518 0.2392 0.2029  0.00
S 0.7482 0.7392 0.2971  0.00
S 0.7482 0.2608 0.2971  0.00
S 0.2123 0.0000 0.5000  0.00
S 0.7482 0.2608 0.7029  0.00
S 0.7482 0.7392 0.7029  0.00
Br 0.7877 0.0000 0.0000  0.01
Br 0.2123 0.5000 0.5000  0.01

Mass density (g/cm3): 4.497
Raw formation energy (eV per atom): -1.792
Symmetry: Pmmn, No. 59

***

No. 7
Computed, not measured: an optimized crystal structure of NdS8Br2 at the PBE level of DFT.

a = 8.8623 Å, b = 7.7056 Å, c = 7.7056 Å
α = 118.62°, β = 97.47°, γ = 97.47°
Fractional coordinates of all 11 atoms:
Nd 0.0000 0.0000 0.0000
S 0.0630 0.1263 0.6988
S 0.9370 0.3012 0.8737
S 0.7813 0.2284 0.2284
S 0.2187 0.7716 0.7716
S 0.0630 0.6988 0.1263
S 0.9370 0.8737 0.3012
S 0.1190 0.5179 0.5179
S 0.8810 0.4821 0.4821
Br 0.3128 0.1972 0.1972
Br 0.6872 0.8028 0.8028

Mass density (g/cm3): 2.084
Raw formation energy (eV per atom): -0.341
Symmetry: C2/m, No. 12

***

No. 8
Computed, not measured: an optimized crystal structure of Nd4SiS2Br at the PBE level of DFT.

a = 4.1448 Å, b = 7.1794 Å, c = 7.3793 Å
α = 71.15°, β = 90.00°, γ = 90.00°
Fractional coordinates of all 8 atoms:
Nd 0.0000 0.7735 0.7197
Nd 0.0000 0.2265 0.2803
Nd 0.5000 0.7585 0.2654
Nd 0.5000 0.2415 0.7346
Si 0.0000 0.5000 0.5000
S 0.0000 0.0000 0.0000
S 0.5000 0.0000 0.5000
Br 0.5000 0.5000 0.0000

Mass density (g/cm3): 5.985
Raw formation energy (eV per atom): -1.529
Symmetry: P2/m, No. 10

***

> Which formula does entry 5 have?

Nd3S2Br5

***

> What is the raw formation energy in the fifth record?

-1.934 eV per atom

***

Please write out number 2 again, unchanged.
Computed, not measured: an optimized crystal structure of Nd3S3Br at the PBE level of DFT.

a = 8.6660 Å, b = 8.6660 Å, c = 7.5936 Å
α = 55.21°, β = 55.21°, γ = 60.00°
Fractional coordinates of all 14 atoms:
Nd 0.2725 0.5666 0.2437
Nd 0.9172 0.2725 0.2437
Nd 0.5666 0.9172 0.2437
Nd 0.4334 0.0828 0.7563
Nd 0.0828 0.7275 0.7563
Nd 0.7275 0.4334 0.7563
S 0.3879 0.7843 0.7381
S 0.7843 0.0898 0.7381
S 0.0898 0.3879 0.7381
S 0.9102 0.6121 0.2619
S 0.2157 0.9102 0.2619
S 0.6121 0.2157 0.2619
Br 0.3298 0.3298 0.0107
Br 0.6702 0.6702 0.9893

Mass density (g/cm3): 5.442
Raw formation energy (eV per atom): -1.880
Symmetry: R-3, No. 148

***

> Which of these has the lowest mass density?

NdS8Br2